# 1
A relaxed structure of Dy5TmCd4. Source: Alexandria, functional PBE.

Cell lengths 3.669, 3.669, 20.298 Å; angles 90.00, 90.00, 90.00 degrees
Positions (direct):
Dy  0.000  0.000  0.000
Dy  0.000  0.000  0.189
Dy  0.000  0.000  0.382
Dy  0.000  0.000  0.618
Dy  0.000  0.000  0.811
Tm  0.500  0.500  0.500
Cd  0.500  0.500  0.095
Cd  0.500  0.500  0.286
Cd  0.500  0.500  0.714
Cd  0.500  0.500  0.905

## Properties
Total magnetic moment = 0.01 Bohr magnetons per cell
E_form = -0.24 eV per atom

=====

# 2
A relaxed structure of Dy2Tm7Cd2. Source: Alexandria, functional PBE.

Cell lengths 6.524, 6.524, 7.907 Å; angles 100.20, 100.20, 91.69 degrees
Positions (direct):
Dy  0.179  0.821  0.000
Dy  0.821  0.179  0.000
Tm  0.000  0.000  0.500
Tm  0.116  0.521  0.326
Tm  0.307  0.307  0.965
Tm  0.479  0.884  0.674
Tm  0.521  0.116  0.326
Tm  0.693  0.693  0.035
Tm  0.884  0.479  0.674
Cd  0.400  0.400  0.644
Cd  0.600  0.600  0.356

## Properties
Total magnetic moment = 0.00 Bohr magnetons per cell
E_form = 0.04 eV per atom

=====

# 3
A relaxed structure of Dy5Tm4Cd. Source: Alexandria, functional PBE.

Cell lengths 7.794, 7.794, 7.794 Å; angles 98.90, 98.90, 133.68 degrees
Positions (direct):
Dy  0.000  0.000  0.000
Dy  0.451  0.532  0.629
Dy  0.532  0.903  0.081
Dy  0.822  0.451  0.919
Dy  0.903  0.822  0.371
Tm  0.138  0.527  0.303
Tm  0.224  0.835  0.697
Tm  0.527  0.224  0.389
Tm  0.835  0.138  0.611
Cd  0.462  0.462  0.000

## Properties
Total magnetic moment = 0.00 Bohr magnetons per cell
E_form = 0.23 eV per atom

=====

# 4
A relaxed structure of Dy2TmCd8. Source: Alexandria, functional PBE.

Cell lengths 8.884, 8.884, 5.328 Å; angles 106.69, 106.69, 125.60 degrees
Positions (direct):
Dy  0.188  0.812  0.000
Dy  0.812  0.188  0.000
Tm  0.500  0.500  0.500
Cd  0.024  0.024  0.776
Cd  0.140  0.399  0.752
Cd  0.301  0.699  0.500
Cd  0.399  0.140  0.752
Cd  0.601  0.860  0.248
Cd  0.699  0.301  0.500
Cd  0.860  0.601  0.248
Cd  0.976  0.976  0.224

## Properties
Total magnetic moment = 0.00 Bohr magnetons per cell
E_form = -0.21 eV per atom

=====

# 5
A relaxed structure of DyTmCd4. Source: Alexandria, functional PBE.

Cell lengths 5.886, 5.886, 5.886 Å; angles 60.00, 60.00, 60.00 degrees
Positions (direct):
Dy  0.000  0.000  0.000
Tm  0.750  0.750  0.750
Cd  0.375  0.375  0.375
Cd  0.375  0.375  0.875
Cd  0.375  0.875  0.375
Cd  0.875  0.375  0.375

## Properties
Total magnetic moment = 0.00 Bohr magnetons per cell
E_form = -0.23 eV per atom

=====

# 6
A relaxed structure of Dy12Tm3Cd. Source: Alexandria, functional PBE.

Cell lengths 4.940, 4.940, 19.970 Å; angles 90.00, 90.00, 90.00 degrees
Positions (direct):
Dy  0.000  0.000  0.000
Dy  0.000  0.000  0.245
Dy  0.000  0.000  0.500
Dy  0.000  0.000  0.755
Dy  0.000  0.500  0.122
Dy  0.000  0.500  0.373
Dy  0.000  0.500  0.627
Dy  0.000  0.500  0.878
Dy  0.500  0.000  0.122
Dy  0.500  0.000  0.373
Dy  0.500  0.000  0.627
Dy  0.500  0.000  0.878
Tm  0.500  0.500  0.248
Tm  0.500  0.500  0.500
Tm  0.500  0.500  0.752
Cd  0.500  0.500  0.000

## Properties
Total magnetic moment = 0.00 Bohr magnetons per cell
E_form = 0.00 eV per atom

=====

# 7
A relaxed structure of Dy3Tm2Cd4. Source: Alexandria, functional PBE.

Cell lengths 9.991, 9.991, 7.982 Å; angles 90.00, 90.00, 141.26 degrees
Positions (direct):
Dy  0.000  0.000  0.000
Dy  0.004  0.496  0.250
Dy  0.496  0.004  0.750
Dy  0.500  0.500  0.500
Dy  0.504  0.996  0.250
Dy  0.996  0.504  0.750
Tm  0.091  0.909  0.398
Tm  0.409  0.591  0.898
Tm  0.591  0.409  0.102
Tm  0.909  0.091  0.602
Cd  0.158  0.842  0.021
Cd  0.173  0.327  0.250
Cd  0.327  0.173  0.750
Cd  0.342  0.658  0.521
Cd  0.658  0.342  0.479
Cd  0.673  0.827  0.250
Cd  0.827  0.673  0.750
Cd  0.842  0.158  0.979

## Properties
Total magnetic moment = 0.00 Bohr magnetons per cell
E_form = -0.12 eV per atom

=====

# 8
A relaxed structure of Dy3Tm2Cd3. Source: Alexandria, functional PBE.

Cell lengths 11.501, 11.501, 11.501 Å; angles 161.47, 153.20, 32.78 degrees
Positions (direct):
Dy  0.000  0.000  0.000
Dy  0.376  0.876  0.500
Dy  0.624  0.124  0.500
Tm  0.234  0.234  0.000
Tm  0.766  0.766  0.000
Cd  0.118  0.618  0.500
Cd  0.500  0.500  0.000
Cd  0.882  0.382  0.500

## Properties
Total magnetic moment = 0.00 Bohr magnetons per cell
E_form = -0.23 eV per atom

=====

# 9
A relaxed structure of DyTm8Cd6. Source: Alexandria, functional PBE.

Cell lengths 8.130, 8.130, 8.130 Å; angles 66.13, 66.13, 66.13 degrees
Positions (direct):
Dy  0.000  0.000  0.000
Tm  0.116  0.449  0.783
Tm  0.217  0.884  0.551
Tm  0.333  0.333  0.333
Tm  0.449  0.783  0.116
Tm  0.551  0.217  0.884
Tm  0.667  0.667  0.667
Tm  0.783  0.116  0.449
Tm  0.884  0.551  0.217
Cd  0.053  0.718  0.388
Cd  0.282  0.612  0.947
Cd  0.388  0.053  0.718
Cd  0.612  0.947  0.282
Cd  0.718  0.388  0.053
Cd  0.947  0.282  0.612

## Properties
Total magnetic moment = 0.00 Bohr magnetons per cell
E_form = -0.05 eV per atom

=====

# 10
A relaxed structure of DyTmCd. Source: Alexandria, functional PBE.

Cell lengths 8.856, 8.856, 8.856 Å; angles 33.52, 33.52, 33.52 degrees
Positions (direct):
Dy  0.124  0.124  0.124
Dy  0.876  0.876  0.876
Tm  0.374  0.374  0.374
Tm  0.626  0.626  0.626
Cd  0.250  0.250  0.250
Cd  0.750  0.750  0.750

## Properties
Total magnetic moment = 0.00 Bohr magnetons per cell
E_form = 0.10 eV per atom

=====

# 11
A relaxed structure of DyTmCd. Source: Alexandria, functional PBE.

Cell lengths 3.494, 14.045, 14.045 Å; angles 14.13, 90.00, 90.00 degrees
Positions (direct):
Dy  0.000  0.000  0.000
Dy  0.000  0.152  0.152
Tm  0.000  0.305  0.305
Tm  0.500  0.892  0.892
Cd  0.500  0.576  0.576
Cd  0.500  0.729  0.729

## Properties
Total magnetic moment = 0.28 Bohr magnetons per cell
E_form = -0.10 eV per atom

=====

# 12
A relaxed structure of DyTmCd6. Source: Alexandria, functional PBE.

Cell lengths 4.865, 6.481, 6.481 Å; angles 67.13, 90.00, 90.00 degrees
Positions (direct):
Dy  0.000  0.000  0.000
Tm  0.500  0.734  0.734
Cd  0.000  0.054  0.488
Cd  0.000  0.488  0.054
Cd  0.000  0.543  0.543
Cd  0.500  0.192  0.192
Cd  0.500  0.246  0.678
Cd  0.500  0.678  0.246

## Properties
Total magnetic moment = 0.00 Bohr magnetons per cell
E_form = -0.27 eV per atom